# Nd4PdRu | the Alexandria database | GGA-PBE | optimized geometry
data_Nd4PdRu
_chemical_formula_sum 'Nd16 Pd4 Ru4'
_cell_length_a 8.975
_cell_length_b 14.701
_cell_length_c 6.950
_cell_angle_alpha 90.00
_cell_angle_beta 127.57
_cell_angle_gamma 90.00
_space_group_name_H-M_alt 'C 1 2/c 1'
_space_group_IT_number 15
loop_
_space_group_symop_operation_xyz
'x,y,z'
'-x,-y,-z'
'-x,y,-z+1/2'
'x,-y,z+1/2'
'x+1/2,y+1/2,z'
'-x+1/2,-y+1/2,-z'
'-x+1/2,y+1/2,-z+1/2'
'x+1/2,-y+1/2,z+1/2'
loop_
_atom_site_label
_atom_site_type_symbol
_atom_site_fract_x
_atom_site_fract_y
_atom_site_fract_z
Nd1 Nd 0.172 0.210 0.165
Nd2 Nd 0.247 0.458 0.254
Pd1 Pd 0.000 0.382 0.750
Ru1 Ru 0.000 0.082 0.250
# **Formation energy**: -0.29 eV per atom
# **Magnetic moment**: 0.00 μB per cell
# **E above lowest polymorph**: 38.2 meV per atom

=====

# Nd2PdRu | the Alexandria database | GGA-PBE | optimized geometry
data_Nd2PdRu
_chemical_formula_sum 'Nd2 Pd1 Ru1'
_cell_length_a 3.520
_cell_length_b 3.520
_cell_length_c 7.336
_cell_angle_alpha 90.00
_cell_angle_beta 90.00
_cell_angle_gamma 90.00
_space_group_name_H-M_alt 'P 4/m m m'
_space_group_IT_number 123
_space_group_name_Hall '-P 4 2'
loop_
_atom_site_label
_atom_site_type_symbol
_atom_site_fract_x
_atom_site_fract_y
_atom_site_fract_z
Nd1 Nd 0.000 0.000 0.240
Pd1 Pd 0.500 0.500 0.500
Ru1 Ru 0.500 0.500 0.000
# **Formation energy**: -0.47 eV per atom
# **Magnetic moment**: 0.00 μB per cell

=====

# Nd4PdRu | the Alexandria database | GGA-PBE | optimized geometry
data_Nd4PdRu
_chemical_formula_sum 'Nd8 Pd2 Ru2'
_cell_length_a 7.099
_cell_length_b 7.099
_cell_length_c 6.578
_cell_angle_alpha 90.00
_cell_angle_beta 90.00
_cell_angle_gamma 90.00
_space_group_name_H-M_alt 'P 4/m c c'
_space_group_IT_number 124
_space_group_name_Hall '-P 4 2c'
loop_
_atom_site_label
_atom_site_type_symbol
_atom_site_fract_x
_atom_site_fract_y
_atom_site_fract_z
Nd1 Nd 0.173 0.311 0.000
Pd1 Pd 0.500 0.500 0.250
Ru1 Ru 0.000 0.000 0.250
# **Formation energy**: -0.33 eV per atom
# **Magnetic moment**: 0.00 μB per cell
# **E above lowest polymorph**: 0.0 meV per atom

=====

# Nd4PdRu2 | the Alexandria database | GGA-PBE | optimized geometry
data_Nd4PdRu2
_chemical_formula_sum 'Nd16 Pd4 Ru8'
_cell_length_a 8.991
_cell_length_b 13.244
_cell_length_c 6.945
_cell_angle_alpha 90.00
_cell_angle_beta 122.49
_cell_angle_gamma 90.00
_space_group_name_H-M_alt 'C 1 c 1'
_space_group_IT_number 9
loop_
_space_group_symop_operation_xyz
'x,y,z'
'x,-y,z+1/2'
'x+1/2,y+1/2,z'
'x+1/2,-y+1/2,z+1/2'
loop_
_atom_site_label
_atom_site_type_symbol
_atom_site_fract_x
_atom_site_fract_y
_atom_site_fract_z
Nd1 Nd 0.000 0.029 0.000
Nd2 Nd 0.095 0.425 0.456
Nd3 Nd 0.196 0.196 0.760
Nd4 Nd 0.360 0.193 0.381
Pd1 Pd 0.268 0.375 0.033
Ru1 Ru 0.312 0.007 0.016
Ru2 Ru 0.489 0.320 0.786
# **Formation energy**: -0.31 eV per atom
# **Magnetic moment**: 0.00 μB per cell

=====

# Nd8Pd2Ru3 | the Alexandria database | GGA-PBE | optimized geometry
data_Nd8Pd2Ru3
_chemical_formula_sum 'Nd8 Pd2 Ru3'
_cell_length_a 8.707
_cell_length_b 4.985
_cell_length_c 8.714
_cell_angle_alpha 90.00
_cell_angle_beta 109.92
_cell_angle_gamma 90.00
_space_group_name_H-M_alt 'P 1 2/m 1'
_space_group_IT_number 10
loop_
_space_group_symop_operation_xyz
'x,y,z'
'-x,-y,-z'
'-x,y,-z'
'x,-y,z'
loop_
_atom_site_label
_atom_site_type_symbol
_atom_site_fract_x
_atom_site_fract_y
_atom_site_fract_z
Nd1 Nd 0.118 0.000 0.383
Nd2 Nd 0.133 0.500 0.870
Nd3 Nd 0.371 0.500 0.633
Nd4 Nd 0.379 0.000 0.120
Pd1 Pd 0.249 0.500 0.251
Ru1 Ru 0.251 0.000 0.751
Ru2 Ru 0.500 0.500 0.000
# **Formation energy**: -0.32 eV per atom
# **Magnetic moment**: 0.00 μB per cell

=====

# Nd12Pd6Ru | the Alexandria database | GGA-PBE | optimized geometry
data_Nd12Pd6Ru
_chemical_formula_sum 'Nd36 Pd18 Ru3'
_cell_length_a 12.7175
_cell_length_b 12.7175
_cell_length_c 12.4633
_cell_angle_alpha 90.00
_cell_angle_beta 90.00
_cell_angle_gamma 120.00
_space_group_name_H-M_alt 'R -3'
_space_group_IT_number 148
_space_group_name_Hall '-R 3'
loop_
_atom_site_label
_atom_site_type_symbol
_atom_site_fract_x
_atom_site_fract_y
_atom_site_fract_z
Nd1 Nd 0.0244 0.2098 0.3932
Nd2 Nd 0.0447 0.2008 0.8811
Pd1 Pd 0.0426 0.2676 0.6462
Ru1 Ru 0.0000 0.0000 0.0000
# **Formation energy**: -0.43 eV per atom
# **Magnetic moment**: 0.00 μB per cell

=====

# NdScPdRu | the Alexandria database | GGA-PBE | optimized geometry
data_NdScPdRu
_chemical_formula_sum 'Nd4 Sc4 Pd4 Ru4'
_cell_length_a 6.836
_cell_length_b 6.836
_cell_length_c 6.836
_cell_angle_alpha 90.00
_cell_angle_beta 90.00
_cell_angle_gamma 90.00
_space_group_name_H-M_alt 'F -4 3 m'
_space_group_IT_number 216
_space_group_name_Hall 'F -4 2 3'
loop_
_atom_site_label
_atom_site_type_symbol
_atom_site_fract_x
_atom_site_fract_y
_atom_site_fract_z
Nd1 Nd 0.000 0.000 0.000
Sc1 Sc 0.000 0.000 0.500
Pd1 Pd 0.250 0.250 0.250
Ru1 Ru 0.250 0.250 0.750
# **Formation energy**: -0.53 eV per atom
# **Magnetic moment**: 0.00 μB per cell

=====

# NdSmPdRu | the Alexandria database | GGA-PBE | optimized geometry
data_NdSmPdRu
_chemical_formula_sum 'Nd1 Sm1 Pd1 Ru1'
_cell_length_a 3.501
_cell_length_b 3.501
_cell_length_c 7.287
_cell_angle_alpha 90.00
_cell_angle_beta 90.00
_cell_angle_gamma 90.00
_space_group_name_H-M_alt 'P 4 m m'
_space_group_IT_number 99
loop_
_space_group_symop_operation_xyz
'x,y,z'
'-y,x,z'
'-x,-y,z'
'y,-x,z'
'-x,y,z'
'y,x,z'
'x,-y,z'
'-y,-x,z'
loop_
_atom_site_label
_atom_site_type_symbol
_atom_site_fract_x
_atom_site_fract_y
_atom_site_fract_z
Nd1 Nd 0.000 0.000 0.000
Sm1 Sm 0.000 0.000 0.479
Pd1 Pd 0.500 0.500 0.731
Ru1 Ru 0.500 0.500 0.243
# **Formation energy**: -0.51 eV per atom
# **Magnetic moment**: 0.00 μB per cell
# **E above lowest polymorph**: 0.0 meV per atom